## CsK3 (PBE)

Data for a geometry-optimized CsK3 structure.

## Properties
The value obtained for the total energy is -1.026 eV/atom. The formation energy is 10 meV/atom. As for the total magnetization: 0.000 μB per atom.

a b c (Å): 9.8004 9.8004 7.9055
angles (deg): 90.00 90.00 120.00
Last column: nearest neighbours and their distance in Å.
Space group P6_3/mmc (No. 194)
Unique sites:
Cs 0.3333 0.6667 0.2500 (multiplicity 2)  12 K 4.90-4.92
K 0.1608 0.3216 0.7500 (multiplicity 6)  8 K 4.73-5.07, 4 Cs 4.90-4.92

## Li2CS (PBE)

Data for a geometry-optimized Li2CS structure.

## Properties
The value obtained for the total energy is -3.730 eV/atom. The value obtained for the formation energy from raw total energies is 0.564 eV/atom. Its energy above the most stable polymorph in this dataset is 0.192 eV per atom. As for the total magnetization: 0.000 μB per atom.

a b c (Å): 5.6817 5.6817 5.6817
angles (deg): 90.00 90.00 90.00
Last column: nearest neighbours and their distance in Å.
Space group Fm-3m (No. 225)
Unique sites:
Li 0.2500 0.2500 0.2500 (multiplicity 8)  4 S 2.46, 4 C 2.46
C 0.0000 0.0000 0.0000 (multiplicity 4)  8 Li 2.46
S 0.0000 0.0000 0.5000 (multiplicity 4)  8 Li 2.46

## PmGd2Be (PBE)

Data for a geometry-optimized PmGd2Be structure.

## Properties
The value obtained for the total energy is -8.464 eV/atom. The formation energy is 696 meV/atom. Its energy above the most stable polymorph in this dataset is 0.617 eV per atom. As for the total magnetization: 3.778 μB per atom.

a b c (Å): 3.4752 3.4752 34.6077
angles (deg): 90.00 90.00 120.00
Last column: nearest neighbours and their distance in Å.
Space group R-3m (No. 166, hexagonal axes)
Unique sites:
Pm 0.0000 0.0000 0.0000 (multiplicity 3)  6 Pm 3.48, 6 Gd 3.52
Gd 0.0000 0.0000 0.4170 (multiplicity 6)  1 Be 2.87
Be 0.0000 0.0000 0.5000 (multiplicity 3)  2 Gd 2.87

## BaHfTe3 (PBE)

Data for a geometry-optimized BaHfTe3 structure.

## Properties
The value obtained for the total energy is -5.447 eV/atom. The value obtained for the formation energy from raw total energies is -1.187 eV/atom. Its energy above the most stable polymorph in this dataset is 0.000 eV per atom. As for the total magnetization: 0.000 μB per atom.

a b c (Å): 9.8084 4.3056 16.1914
angles (deg): 90.00 90.00 90.00
Last column: nearest neighbours and their distance in Å.
Space group Pnma (No. 62)
Unique sites:
Ba 0.0627 0.2500 0.1744 (multiplicity 4)  8 Te 3.54-3.67
Hf 0.1620 0.7500 0.4428 (multiplicity 4)  6 Te 2.81-2.96
Te 0.0263 0.7500 0.6059 (multiplicity 4)  3 Hf 2.94-2.96
Te 0.1648 0.7500 0.0054 (multiplicity 4)  2 Hf 2.92
Te 0.2161 0.2500 0.7857 (multiplicity 4)  1 Hf 2.81

Which formula does entry 2 have?
Li2CS